A plane-wave DFT calculation with PBE was carried out for a relaxed structure of GdTm2Cu4Ge4.

CIF file:
```
data_GdTm2Cu4Ge4
_symmetry_space_group_name_H-M 'I m m m'
_symmetry_Int_Tables_number 71
_symmetry_space_group_name_Hall '-I 2 2'
_cell_length_a 4.165
_cell_length_b 6.695
_cell_length_c 13.884
_cell_angle_alpha 90.00
_cell_angle_beta 90.00
_cell_angle_gamma 90.00
loop_
_atom_site_label
_atom_site_type_symbol
_atom_site_fract_x
_atom_site_fract_y
_atom_site_fract_z
Gd1 Gd 0.000 0.000 0.000
Tm1 Tm 0.000 0.500 0.130
Cu1 Cu 0.000 0.309 0.331
Ge1 Ge 0.000 0.000 0.218
Ge2 Ge 0.000 0.189 0.500
```

Results
E_tot	-4.8981	eV per atom
mass density	8.919	Mg/m³

A plane-wave DFT calculation with PBE was carried out for a relaxed structure of HfZrZn2Ga.

CIF file:
```
data_HfZrZn2Ga
_symmetry_space_group_name_H-M 'A m m 2'
_symmetry_Int_Tables_number 38
_symmetry_space_group_name_Hall 'A 2 -2'
_cell_length_a 3.132
_cell_length_b 4.244
_cell_length_c 13.242
_cell_angle_alpha 90.00
_cell_angle_beta 90.00
_cell_angle_gamma 90.00
loop_
_atom_site_label
_atom_site_type_symbol
_atom_site_fract_x
_atom_site_fract_y
_atom_site_fract_z
Hf1 Hf 0.000 0.000 0.000
Zr1 Zr 0.000 0.000 0.769
Zn1 Zn 0.500 0.000 0.183
Zn2 Zn 0.500 0.000 0.583
Ga1 Ga 0.500 0.000 0.385
```

Results
E_tot	-5.1539	eV per atom
mass density	8.872	Mg/m³

A plane-wave DFT calculation with PBE was carried out for a relaxed structure of Gd3Mg3Tl2Pt.

CIF file:
```
data_Gd3Mg3Tl2Pt
_symmetry_space_group_name_H-M 'P -6 2 m'
_symmetry_Int_Tables_number 189
_symmetry_space_group_name_Hall 'P -6 -2'
_cell_length_a 7.5521
_cell_length_b 7.5521
_cell_length_c 4.4581
_cell_angle_alpha 90.00
_cell_angle_beta 90.00
_cell_angle_gamma 120.00
loop_
_atom_site_label
_atom_site_type_symbol
_atom_site_fract_x
_atom_site_fract_y
_atom_site_fract_z
Gd1 Gd 0.0000 0.6023 0.0000
Mg1 Mg 0.0000 0.2312 0.5000
Tl1 Tl 0.3333 0.6667 0.5000
Pt1 Pt 0.0000 0.0000 0.0000
```

Results
E_tot	-3.8001	eV per atom
mass density	8.661	Mg/m³

A plane-wave DFT calculation with PBE was carried out for a relaxed structure of ErSO4F.

CIF file:
```
data_ErSO4F
_symmetry_space_group_name_H-M 'P -1'
_symmetry_Int_Tables_number 2
_symmetry_space_group_name_Hall '-P 1'
_cell_length_a 5.232
_cell_length_b 5.251
_cell_length_c 7.578
_cell_angle_alpha 107.43
_cell_angle_beta 109.04
_cell_angle_gamma 91.75
loop_
_atom_site_label
_atom_site_type_symbol
_atom_site_fract_x
_atom_site_fract_y
_atom_site_fract_z
Er1 Er 0.000 0.000 0.000
Er2 Er 0.000 0.500 0.500
S1 S 0.408 0.102 0.742
O1 O 0.266 0.212 0.585
O2 O 0.295 0.182 0.903
O3 O 0.298 0.799 0.179
O4 O 0.369 0.804 0.658
F1 F 0.075 0.367 0.233
```

Results
E_tot	-6.8155	eV per atom
mass density	5.045	Mg/m³

Which of these has the highest mass density?
GdTm2Cu4Ge4